1.
# PBE-GGA TaPW2, relaxed
# **ΔE_f**: 1.52 eV per formula unit
# **Total DFT energy (no corrections)**: -10.413 eV per atom
# **Total magnetization**: 0.00 μB/f.u.
data_TaPW2
_cell_length_a 7.5252
_cell_length_b 7.5252
_cell_length_c 4.9115
_cell_angle_alpha 90.00
_cell_angle_beta 90.00
_cell_angle_gamma 90.00
_symmetry_space_group_name_H-M 'I -4 2 d'
_symmetry_Int_Tables_number 122
_symmetry_space_group_name_Hall 'I -4 2bw'
loop_
_atom_site_label
_atom_site_type_symbol
_atom_site_fract_x
_atom_site_fract_y
_atom_site_fract_z
_atom_site_occupancy
Ta1 Ta 0.0000 0.0000 0.0000 1
P1 P 0.0000 0.0000 0.5000 1
W1 W 0.1654 0.2500 0.6250 1

2.
# PBE-GGA Ta2PW, relaxed
# **ΔE_f**: -0.48 eV per formula unit
# **Total DFT energy (no corrections)**: -10.637 eV per atom
# **Total magnetization**: 0.00 μB/f.u.
data_Ta2PW
_cell_length_a 3.2569
_cell_length_b 3.2569
_cell_length_c 22.3062
_cell_angle_alpha 90.00
_cell_angle_beta 90.00
_cell_angle_gamma 120.00
_symmetry_space_group_name_H-M 'R -3 m'
_symmetry_Int_Tables_number 166
_symmetry_space_group_name_Hall '-R 3 2"'
loop_
_atom_site_label
_atom_site_type_symbol
_atom_site_fract_x
_atom_site_fract_y
_atom_site_fract_z
_atom_site_occupancy
Ta1 Ta 0.0000 0.0000 0.2408 1
P1 P 0.0000 0.0000 0.5000 1
W1 W 0.0000 0.0000 0.0000 1

3.
# PBE-GGA TaPW2, relaxed
# **ΔE_f**: 0.08 eV per formula unit
# **Total DFT energy (no corrections)**: -10.773 eV per atom
# **Total magnetization**: 0.00 μB/f.u.
data_TaPW2
_cell_length_a 3.2572
_cell_length_b 3.2572
_cell_length_c 5.9605
_cell_angle_alpha 90.00
_cell_angle_beta 90.00
_cell_angle_gamma 90.00
_symmetry_space_group_name_H-M 'P 4 m m'
_symmetry_Int_Tables_number 99
loop_
_symmetry_equiv_pos_as_xyz
'x,y,z'
'-y,x,z'
'-x,-y,z'
'y,-x,z'
'-x,y,z'
'y,x,z'
'x,-y,z'
'-y,-x,z'
loop_
_atom_site_label
_atom_site_type_symbol
_atom_site_fract_x
_atom_site_fract_y
_atom_site_fract_z
_atom_site_occupancy
Ta1 Ta 0.0000 0.0000 0.0000 1
P1 P 0.5000 0.5000 0.7898 1
W1 W 0.0000 0.0000 0.5305 1
W2 W 0.5000 0.5000 0.3027 1

4.
# PBE-GGA TaPW2, relaxed
# **ΔE_f**: 0.66 eV per formula unit
# **Total DFT energy (no corrections)**: -10.626 eV per atom
# **Total magnetization**: 0.00 μB/f.u.
data_TaPW2
_cell_length_a 5.7916
_cell_length_b 6.6377
_cell_length_c 3.2507
_cell_angle_alpha 90.00
_cell_angle_beta 90.00
_cell_angle_gamma 90.00
_symmetry_space_group_name_H-M 'C m m m'
_symmetry_Int_Tables_number 65
_symmetry_space_group_name_Hall '-C 2 2'
loop_
_atom_site_label
_atom_site_type_symbol
_atom_site_fract_x
_atom_site_fract_y
_atom_site_fract_z
_atom_site_occupancy
Ta1 Ta 0.0000 0.0000 0.0000 1
P1 P 0.0000 0.5000 0.0000 1
W1 W 0.2500 0.2500 0.5000 1

5.
# PBE-GGA Ta2PW, relaxed
# **ΔE_f**: -0.28 eV per formula unit
# **Total DFT energy (no corrections)**: -10.587 eV per atom
# **Total magnetization**: 0.00 μB/f.u.
data_Ta2PW
_cell_length_a 3.2727
_cell_length_b 4.7123
_cell_length_c 8.4586
_cell_angle_alpha 90.00
_cell_angle_beta 90.00
_cell_angle_gamma 90.00
_symmetry_space_group_name_H-M 'I m m 2'
_symmetry_Int_Tables_number 44
loop_
_symmetry_equiv_pos_as_xyz
'x,y,z'
'-x,-y,z'
'-x,y,z'
'x,-y,z'
'x+1/2,y+1/2,z+1/2'
'-x+1/2,-y+1/2,z+1/2'
'-x+1/2,y+1/2,z+1/2'
'x+1/2,-y+1/2,z+1/2'
loop_
_atom_site_label
_atom_site_type_symbol
_atom_site_fract_x
_atom_site_fract_y
_atom_site_fract_z
_atom_site_occupancy
Ta1 Ta 0.0000 0.0000 0.0000 1
Ta2 Ta 0.0000 0.5000 0.2289 1
P1 P 0.0000 0.0000 0.4885 1
W1 W 0.0000 0.5000 0.7632 1

6.
# PBE-GGA Ta2PW, relaxed
# **ΔE_f**: -0.72 eV per formula unit
# **Total DFT energy (no corrections)**: -10.696 eV per atom
# **Total magnetization**: 0.00 μB/f.u.
data_Ta2PW
_cell_length_a 3.3283
_cell_length_b 3.3283
_cell_length_c 5.8305
_cell_angle_alpha 90.00
_cell_angle_beta 90.00
_cell_angle_gamma 90.00
_symmetry_space_group_name_H-M 'P 4/m m m'
_symmetry_Int_Tables_number 123
_symmetry_space_group_name_Hall '-P 4 2'
loop_
_atom_site_label
_atom_site_type_symbol
_atom_site_fract_x
_atom_site_fract_y
_atom_site_fract_z
_atom_site_occupancy
Ta1 Ta 0.0000 0.0000 0.2370 1
P1 P 0.5000 0.5000 0.0000 1
W1 W 0.5000 0.5000 0.5000 1

7.
# PBE-GGA Ta2PW, relaxed
# **ΔE_f**: 0.01 eV per formula unit
# **Total DFT energy (no corrections)**: -10.515 eV per atom
# **Total magnetization**: 0.00 μB/f.u.
data_Ta2PW
_cell_length_a 4.4403
_cell_length_b 3.3062
_cell_length_c 4.5137
_cell_angle_alpha 90.00
_cell_angle_beta 101.72
_cell_angle_gamma 90.00
_symmetry_space_group_name_H-M 'P 1 2/m 1'
_symmetry_Int_Tables_number 10
loop_
_symmetry_equiv_pos_as_xyz
'x,y,z'
'-x,-y,-z'
'-x,y,-z'
'x,-y,z'
loop_
_atom_site_label
_atom_site_type_symbol
_atom_site_fract_x
_atom_site_fract_y
_atom_site_fract_z
_atom_site_occupancy
Ta1 Ta 0.0000 0.0000 0.0000 1
Ta2 Ta 0.0000 0.5000 0.5000 1
P1 P 0.5000 0.0000 0.5000 1
W1 W 0.5000 0.5000 0.0000 1

8.
# PBE-GGA TaPW2, relaxed
# **ΔE_f**: 0.55 eV per formula unit
# **Total DFT energy (no corrections)**: -10.655 eV per atom
# **Total magnetization**: 0.00 μB/f.u.
data_TaPW2
_cell_length_a 3.2521
_cell_length_b 4.2447
_cell_length_c 4.5624
_cell_angle_alpha 90.00
_cell_angle_beta 90.00
_cell_angle_gamma 90.00
_symmetry_space_group_name_H-M 'P m m m'
_symmetry_Int_Tables_number 47
loop_
_symmetry_equiv_pos_as_xyz
'x,y,z'
'-x,-y,-z'
'-x,-y,z'
'x,y,-z'
'x,-y,-z'
'-x,y,z'
'-x,y,-z'
'x,-y,z'
loop_
_atom_site_label
_atom_site_type_symbol
_atom_site_fract_x
_atom_site_fract_y
_atom_site_fract_z
_atom_site_occupancy
Ta1 Ta 0.0000 0.0000 0.0000 1
P1 P 0.5000 0.5000 0.0000 1
W1 W 0.0000 0.5000 0.5000 1
W2 W 0.5000 0.0000 0.5000 1

9.
# PBE-GGA TaPW2, relaxed
# **ΔE_f**: 0.31 eV per formula unit
# **Total DFT energy (no corrections)**: -10.714 eV per atom
# **Total magnetization**: 0.00 μB/f.u.
data_TaPW2
_cell_length_a 3.2958
_cell_length_b 3.2958
_cell_length_c 5.7566
_cell_angle_alpha 90.00
_cell_angle_beta 90.00
_cell_angle_gamma 90.00
_symmetry_space_group_name_H-M 'P 4/m m m'
_symmetry_Int_Tables_number 123
_symmetry_space_group_name_Hall '-P 4 2'
loop_
_atom_site_label
_atom_site_type_symbol
_atom_site_fract_x
_atom_site_fract_y
_atom_site_fract_z
_atom_site_occupancy
Ta1 Ta 0.0000 0.0000 0.0000 1
P1 P 0.0000 0.0000 0.5000 1
W1 W 0.5000 0.5000 0.2675 1

10.
# PBE-GGA Ta2PW, relaxed
# **ΔE_f**: -0.05 eV per formula unit
# **Total DFT energy (no corrections)**: -10.529 eV per atom
# **Total magnetization**: 0.00 μB/f.u.
data_Ta2PW
_cell_length_a 2.9252
_cell_length_b 2.9252
_cell_length_c 7.6898
_cell_angle_alpha 90.00
_cell_angle_beta 90.00
_cell_angle_gamma 90.00
_symmetry_space_group_name_H-M 'P 4 m m'
_symmetry_Int_Tables_number 99
loop_
_symmetry_equiv_pos_as_xyz
'x,y,z'
'-y,x,z'
'-x,-y,z'
'y,-x,z'
'-x,y,z'
'y,x,z'
'x,-y,z'
'-y,-x,z'
loop_
_atom_site_label
_atom_site_type_symbol
_atom_site_fract_x
_atom_site_fract_y
_atom_site_fract_z
_atom_site_occupancy
Ta1 Ta 0.0000 0.0000 0.0000 1
Ta2 Ta 0.5000 0.5000 0.3048 1
P1 P 0.5000 0.5000 0.7715 1
W1 W 0.0000 0.0000 0.5959 1

11.
# PBE-GGA Ta2PW, relaxed
# **ΔE_f**: 0.12 eV per formula unit
# **Total DFT energy (no corrections)**: -10.487 eV per atom
# **Total magnetization**: 0.00 μB/f.u.
data_Ta2PW
_cell_length_a 3.7531
_cell_length_b 3.7531
_cell_length_c 9.2074
_cell_angle_alpha 90.00
_cell_angle_beta 90.00
_cell_angle_gamma 90.00
_symmetry_space_group_name_H-M 'I -4 m 2'
_symmetry_Int_Tables_number 119
_symmetry_space_group_name_Hall 'I -4 -2'
loop_
_atom_site_label
_atom_site_type_symbol
_atom_site_fract_x
_atom_site_fract_y
_atom_site_fract_z
_atom_site_occupancy
Ta1 Ta 0.0000 0.0000 0.0000 1
Ta2 Ta 0.0000 0.5000 0.2500 1
P1 P 0.0000 0.0000 0.5000 1
W1 W 0.0000 0.5000 0.7500 1

12.
# PBE-GGA Ta2PW, relaxed
# **ΔE_f**: 0.08 eV per formula unit
# **Total DFT energy (no corrections)**: -10.497 eV per atom
# **Total magnetization**: 0.00 μB/f.u.
data_Ta2PW
_cell_length_a 3.3745
_cell_length_b 4.2873
_cell_length_c 4.4423
_cell_angle_alpha 90.00
_cell_angle_beta 90.00
_cell_angle_gamma 90.00
_symmetry_space_group_name_H-M 'P m m m'
_symmetry_Int_Tables_number 47
loop_
_symmetry_equiv_pos_as_xyz
'x,y,z'
'-x,-y,-z'
'-x,-y,z'
'x,y,-z'
'x,-y,-z'
'-x,y,z'
'-x,y,-z'
'x,-y,z'
loop_
_atom_site_label
_atom_site_type_symbol
_atom_site_fract_x
_atom_site_fract_y
_atom_site_fract_z
_atom_site_occupancy
Ta1 Ta 0.0000 0.0000 0.0000 1
Ta2 Ta 0.5000 0.0000 0.5000 1
P1 P 0.0000 0.5000 0.5000 1
W1 W 0.5000 0.5000 0.0000 1

13.
# PBE-GGA TaPW2, relaxed
# **ΔE_f**: 0.20 eV per formula unit
# **Total DFT energy (no corrections)**: -10.741 eV per atom
# **Total magnetization**: 0.00 μB/f.u.
data_TaPW2
_cell_length_a 2.9797
_cell_length_b 4.4523
_cell_length_c 4.9869
_cell_angle_alpha 90.00
_cell_angle_beta 104.26
_cell_angle_gamma 90.00
_symmetry_space_group_name_H-M 'P 1 m 1'
_symmetry_Int_Tables_number 6
loop_
_symmetry_equiv_pos_as_xyz
'x,y,z'
'x,-y,z'
loop_
_atom_site_label
_atom_site_type_symbol
_atom_site_fract_x
_atom_site_fract_y
_atom_site_fract_z
_atom_site_occupancy
Ta1 Ta 0.0000 0.0000 0.0000 1
P1 P 0.5220 0.5000 0.7559 1
W1 W 0.4783 0.0000 0.5012 1
W2 W 0.8167 0.5000 0.2981 1

14.
# PBE-GGA TaPW2, relaxed
# **ΔE_f**: 0.95 eV per formula unit
# **Total DFT energy (no corrections)**: -10.555 eV per atom
# **Total magnetization**: 0.00 μB/f.u.
data_TaPW2
_cell_length_a 5.2038
_cell_length_b 9.0040
_cell_length_c 2.8747
_cell_angle_alpha 90.00
_cell_angle_beta 108.65
_cell_angle_gamma 90.00
_symmetry_space_group_name_H-M 'C 1 2/m 1'
_symmetry_Int_Tables_number 12
loop_
_symmetry_equiv_pos_as_xyz
'x,y,z'
'-x,-y,-z'
'-x,y,-z'
'x,-y,z'
'x+1/2,y+1/2,z'
'-x+1/2,-y+1/2,-z'
'-x+1/2,y+1/2,-z'
'x+1/2,-y+1/2,z'
loop_
_atom_site_label
_atom_site_type_symbol
_atom_site_fract_x
_atom_site_fract_y
_atom_site_fract_z
_atom_site_occupancy
Ta1 Ta 0.0000 0.0000 0.0000 1
P1 P 0.0000 0.5000 0.0000 1
W1 W 0.2500 0.2500 0.5000 1

15.
# PBE-GGA TaPW2, relaxed
# **ΔE_f**: -0.04 eV per formula unit
# **Total DFT energy (no corrections)**: -10.803 eV per atom
# **Total magnetization**: 0.00 μB/f.u.
data_TaPW2
_cell_length_a 3.3206
_cell_length_b 4.6768
_cell_length_c 8.1226
_cell_angle_alpha 90.00
_cell_angle_beta 90.00
_cell_angle_gamma 90.00
_symmetry_space_group_name_H-M 'C m m 2'
_symmetry_Int_Tables_number 35
loop_
_symmetry_equiv_pos_as_xyz
'x,y,z'
'-x,-y,z'
'-x,y,z'
'x,-y,z'
'x+1/2,y+1/2,z'
'-x+1/2,-y+1/2,z'
'-x+1/2,y+1/2,z'
'x+1/2,-y+1/2,z'
loop_
_atom_site_label
_atom_site_type_symbol
_atom_site_fract_x
_atom_site_fract_y
_atom_site_fract_z
_atom_site_occupancy
Ta1 Ta 0.0000 0.0000 0.0000 1
P1 P 0.0000 0.5000 0.7694 1
W1 W 0.0000 0.0000 0.5438 1
W2 W 0.0000 0.5000 0.2765 1